# AcSi6Ni12, relaxed, DFT PBE
data_AcSi6Ni12
_chemical_formula_sum 'Ac1 Si6 Ni12'
_cell_length_a 6.606
_cell_length_b 6.606
_cell_length_c 6.606
_cell_angle_alpha 105.13
_cell_angle_beta 105.13
_cell_angle_gamma 105.13
_space_group_name_H-M_alt 'P 1'
_space_group_IT_number 1
loop_
_space_group_symop_operation_xyz
'x,y,z'
loop_
_atom_site_label
_atom_site_fract_x
_atom_site_fract_y
_atom_site_fract_z
Ac1 0.000 0.000 0.000
Si1 0.683 0.245 0.245
Si2 0.245 0.245 0.683
Si3 0.245 0.683 0.245
Si4 0.755 0.755 0.317
Si5 0.317 0.755 0.755
Si6 0.755 0.317 0.755
Ni1 0.873 0.127 0.500
Ni2 0.833 0.557 0.557
Ni3 0.557 0.557 0.833
Ni4 0.443 0.167 0.443
Ni5 0.443 0.443 0.167
Ni6 0.167 0.443 0.443
Ni7 0.127 0.500 0.873
Ni8 0.500 0.873 0.127
Ni9 0.127 0.873 0.500
Ni10 0.873 0.500 0.127
Ni11 0.500 0.127 0.873
Ni12 0.557 0.833 0.557
# VASP energy = -6.09 eV per atom
# N(E_F) = 12.56 states/eV/f.u.
# magnetic moment = 0.00 Bohr magnetons per cell
# E_form (uncorrected) = -11.8 kcal/mol of atoms